NaNd2C (GGA-PBE, relaxed); formation energy = -0.024 eV/atom; energy above the lowest structure with this stoichiometry = 35 meV/atom; Fermi-level density of states = 3.26 states/eV/cell; total magnetic moment = 0.00 μB per cell; symmetry = R-3m
1.0
3.665 0.000 0.000
1.832 3.174 0.000
1.832 1.058 10.337
Nd C Na
2 1 1
Direct
0.879 0.879 0.363
0.121 0.121 0.637
0.500 0.500 0.500
0.000 0.000 0.000